A relaxed K2Tc4Ir crystal. Source: Alexandria via LeMat-Bulk, functional PBE-GGA.

a = 9.2271 Å, b = 9.2271 Å, c = 9.2271 Å
α = 149.61°, β = 149.61°, γ = 43.52°
Closest atoms and distances in Å follow each position.
Sites, in units of the cell vectors:
K: 0.1547 0.1547 0.0000  9 Tc 3.43-3.59
K: 0.8453 0.8453 0.0000  9 Tc 3.43-3.59
Tc: 0.0000 0.5000 0.5000  2 Ir 2.42
Tc: 0.3625 0.3625 0.0000  1 Ir 2.36
Tc: 0.5000 0.0000 0.5000  2 Ir 2.42
Tc: 0.6375 0.6375 0.0000  1 Ir 2.36
Ir: 0.5000 0.5000 0.0000  6 Tc 2.36-2.42

## Properties
Its total DFT energy (no corrections) is -5.599 eV per atom. Its calculated volume is 200.5 Å³/cell. The calculation puts the formation enthalpy at 0 K at 1904 meV per atom.